Entry from Alexandria via LeMat-Bulk: a crystal of TaZnW2 relaxed with PBEsol (SCAN).

Values from the calculation:
Crystal system: tetragonal
E_tot, eV/f.u.: -218.57

Cell and atoms, written as CIF:
```
data_TaZnW2
_chemical_formula_sum 'Ta1 Zn1 W2'
_symmetry_space_group_name_H-M 'P 4/m m m'
_symmetry_Int_Tables_number 123
_symmetry_space_group_name_Hall '-P 4 2'
_cell_length_a 3.284
_cell_length_b 3.284
_cell_length_c 5.777
_cell_angle_alpha 90.00
_cell_angle_beta 90.00
_cell_angle_gamma 90.00
loop_
_atom_site_label
_atom_site_fract_x
_atom_site_fract_y
_atom_site_fract_z
_atom_site_occupancy
Ta1 0.000 0.000 0.000 1
Zn1 0.000 0.000 0.500 1
W1 0.500 0.500 0.270 1
```

Entry from Alexandria via LeMat-Bulk: a crystal of Ta2FeSe relaxed with PBEsol (SCAN).

Values from the calculation:
Formation energy without anion corrections, eV per atom: -0.03
Crystal system: orthorhombic
E_tot, eV/f.u.: -171.51

Cell and atoms, written as CIF:
```
data_Ta2FeSe
_chemical_formula_sum 'Ta4 Fe2 Se2'
_symmetry_space_group_name_H-M 'A m m 2'
_symmetry_Int_Tables_number 38
_symmetry_space_group_name_Hall 'A 2 -2'
_cell_length_a 3.618
_cell_length_b 3.205
_cell_length_c 10.421
_cell_angle_alpha 90.00
_cell_angle_beta 90.00
_cell_angle_gamma 90.00
loop_
_atom_site_label
_atom_site_fract_x
_atom_site_fract_y
_atom_site_fract_z
_atom_site_occupancy
Ta1 0.000 0.000 0.000 1
Ta2 0.500 0.000 0.340 1
Fe1 0.500 0.000 0.600 1
Se1 0.000 0.000 0.736 1
```

Entry from Alexandria via LeMat-Bulk: a crystal of BaAlZn4 relaxed with PBEsol (SCAN).

Values from the calculation:
Crystal system: cubic
E_tot, eV/f.u.: -100.95

Cell and atoms, written as CIF:
```
data_BaAlZn4
_chemical_formula_sum 'Ba4 Al4 Zn16'
_symmetry_space_group_name_H-M 'F -4 3 m'
_symmetry_Int_Tables_number 216
_symmetry_space_group_name_Hall 'F -4 2 3'
_cell_length_a 7.812
_cell_length_b 7.812
_cell_length_c 7.812
_cell_angle_alpha 90.00
_cell_angle_beta 90.00
_cell_angle_gamma 90.00
loop_
_atom_site_label
_atom_site_fract_x
_atom_site_fract_y
_atom_site_fract_z
_atom_site_occupancy
Ba1 0.000 0.000 0.000 1
Al1 0.250 0.250 0.750 1
Zn1 0.124 0.124 0.376 1
```

Entry from Alexandria via LeMat-Bulk: a crystal of K2TlCl relaxed with PBEsol (SCAN).

Values from the calculation:
Formation energy without anion corrections, eV per atom: -1.01
Crystal system: orthorhombic
E_tot, eV/f.u.: -101.03

Cell and atoms, written as CIF:
```
data_K2TlCl
_chemical_formula_sum 'K2 Tl1 Cl1'
_symmetry_space_group_name_H-M 'P m m 2'
_symmetry_Int_Tables_number 25
_symmetry_space_group_name_Hall 'P 2 -2'
_cell_length_a 3.734
_cell_length_b 3.820
_cell_length_c 9.684
_cell_angle_alpha 90.00
_cell_angle_beta 90.00
_cell_angle_gamma 90.00
loop_
_atom_site_label
_atom_site_fract_x
_atom_site_fract_y
_atom_site_fract_z
_atom_site_occupancy
K1 0.000 0.000 0.000 1
K2 0.000 0.500 0.406 1
Tl1 0.500 0.500 0.734 1
Cl1 0.500 0.000 0.249 1
```

Entry from Alexandria via LeMat-Bulk: a crystal of SrBN3 relaxed with PBEsol (SCAN).

Values from the calculation:
Formation energy without anion corrections, eV per atom: 2.86
Crystal system: cubic
E_tot, eV/f.u.: -43.26

Cell and atoms, written as CIF:
```
data_SrBN3
_chemical_formula_sum 'Sr1 B1 N3'
_symmetry_space_group_name_H-M 'P m -3 m'
_symmetry_Int_Tables_number 221
_symmetry_space_group_name_Hall '-P 4 2 3'
_cell_length_a 4.816
_cell_length_b 4.816
_cell_length_c 4.816
_cell_angle_alpha 90.00
_cell_angle_beta 90.00
_cell_angle_gamma 90.00
loop_
_atom_site_label
_atom_site_fract_x
_atom_site_fract_y
_atom_site_fract_z
_atom_site_occupancy
Sr1 0.000 0.000 0.000 1
B1 0.500 0.500 0.500 1
N1 0.000 0.000 0.500 1
```

Entry from Alexandria via LeMat-Bulk: a crystal of SrLiY2 relaxed with PBEsol (SCAN).

Values from the calculation:
Crystal system: orthorhombic
E_tot, eV/f.u.: -79.71

Cell and atoms, written as CIF:
```
data_SrLiY2
_chemical_formula_sum 'Sr2 Li2 Y4'
_symmetry_space_group_name_H-M 'I m m m'
_symmetry_Int_Tables_number 71
_symmetry_space_group_name_Hall '-I 2 2'
_cell_length_a 3.723
_cell_length_b 5.686
_cell_length_c 12.069
_cell_angle_alpha 90.00
_cell_angle_beta 90.00
_cell_angle_gamma 90.00
loop_
_atom_site_label
_atom_site_fract_x
_atom_site_fract_y
_atom_site_fract_z
_atom_site_occupancy
Sr1 0.000 0.000 0.000 1
Li1 0.000 0.000 0.500 1
Y1 0.000 0.500 0.224 1
```